# KH6PbAu2

KH6PbAu2 after structural relaxation (GGA-PBE, the Alexandria database).

Properties
The value obtained for the energy is -3.1084 eV per atom. The density of states at the Fermi level is 0.828 states/eV per cell. As for the space group: C2/c (15).

```
KH6PbAu2
1.0
6.8182 0.0218 0.1918
-0.8131 6.7695 0.1918
-1.5258 -1.7256 6.7920
K Pb Au H
2 2 4 12
Direct
0.8669 0.1331 0.7500
0.1331 0.8669 0.2500
0.3796 0.6204 0.7500
0.6204 0.3796 0.2500
0.6297 0.8102 0.2548
0.8102 0.6297 0.7548
0.3703 0.1898 0.7452
0.1898 0.3703 0.2452
0.9304 0.3686 0.2173
0.3686 0.9304 0.7173
0.1805 0.1743 0.5602
0.0696 0.6314 0.7827
0.5718 0.2278 0.9295
0.2278 0.5718 0.4295
0.8195 0.8257 0.4398
0.1743 0.1805 0.0602
0.4282 0.7722 0.0705
0.6314 0.0696 0.2827
0.7722 0.4282 0.5705
0.8257 0.8195 0.9398
```